SbTe2RhAu | Alexandria via LeMat-Bulk | PBE-GGA | relaxed; energy relative to the lowest polymorph listed for this composition = 0.000 eV per atom; formation energy without anion corrections = 2.27 eV per formula unit; DOS(E_F) = 0.935 states/eV per atom; total magnetic moment = 0.0 μB/f.u.; symmetry = No. 123
1.0
5.300 0.000 0.000
0.000 5.300 0.000
0.000 0.000 4.967
Sb Te Rh Au
1 2 1 1
direct
0.000 0.000 0.000
0.000 0.500 0.500
0.500 0.000 0.500
0.000 0.000 0.500
0.500 0.500 0.000